Pm5PuTl4 | PBE | relaxed

Cell: 3.6868 3.6868 21.7202 Å, 90.00 90.00 90.00°
Sites, in units of the cell vectors:
Pm: 0.0000 0.0000 0.0000
Pm: 0.0000 0.0000 0.1973
Pm: 0.0000 0.0000 0.3924
Pm: 0.0000 0.0000 0.6076
Pm: 0.0000 0.0000 0.8027
Pu: 0.5000 0.5000 0.5000
Tl: 0.5000 0.5000 0.0991
Tl: 0.5000 0.5000 0.2968
Tl: 0.5000 0.5000 0.7032
Tl: 0.5000 0.5000 0.9009

Summary:
- Calculated total energy: -50.14 eV for the cell shown
- Energy of formation: -0.26 eV per atom